A plane-wave DFT calculation with PBE was carried out for YInCo3 after structural relaxation.

```
YInCo3
1.0
4.6921 0.0000 0.0000
0.0000 4.6921 0.0000
0.0000 0.0000 4.6921
Y In Co
1 1 3
Direct
0.0000 0.0000 0.0000 Y
0.5000 0.5000 0.5000 In
0.0000 0.5000 0.5000 Co
0.5000 0.0000 0.5000 Co
0.5000 0.5000 0.0000 Co
```

Summary:
Distance to the lowest polymorph of the same formula: 0 meV/atom
Total DFT energy (no corrections): -5.21 eV per atom
Energy relative to the elements: 86.0 kJ/mol of atoms
V: 20.7 Å³/atom